[1]
! LuGeRu | Alexandria via LeMat-Bulk | PBE | optimized geometry; values from VASP
! Energy relative to the elements ... -0.534 eV per atom
! Size of the total moment ... 0.000 μB per atom
&SYSTEM
  ibrav = 0, nat = 3, ntyp = 3
/
ATOMIC_SPECIES
Ru 101.07 Ru.upf
Ge 72.64 Ge.upf
Lu 174.97 Lu.upf
ATOMIC_POSITIONS crystal
Ru 0.689 0.689 0.379
Ge 0.305 0.305 0.610
Lu 0.006 0.006 0.011
CELL_PARAMETERS angstrom
-2.597 1.471 -1.175
0.309 -1.641 -2.739
-1.874 -3.703 3.886

***

[2]
! LuScGeRu | Alexandria via LeMat-Bulk | PBE | optimized geometry; values from VASP
! Energy relative to the elements ... -0.567 eV per atom
! Size of the total moment ... 0.000 μB per atom
&SYSTEM
  ibrav = 0, nat = 4, ntyp = 4
/
ATOMIC_SPECIES
Sc 44.96 Sc.upf
Ru 101.07 Ru.upf
Ge 72.64 Ge.upf
Lu 174.97 Lu.upf
ATOMIC_POSITIONS crystal
Sc 0.500 0.500 0.500
Ru 0.750 0.750 0.750
Ge 0.250 0.250 0.250
Lu 0.000 0.000 0.000
CELL_PARAMETERS angstrom
-3.237 -2.704 2.143
1.183 -4.296 1.588
0.294 -0.804 4.653

***

[3]
! TbLuGeRu | Alexandria via LeMat-Bulk | PBE | optimized geometry; values from VASP
! Energy relative to the elements ... -0.496 eV per atom
! Size of the total moment ... 0.001 μB per atom
&SYSTEM
  ibrav = 0, nat = 4, ntyp = 4
/
ATOMIC_SPECIES
Ru 101.07 Ru.upf
Ge 72.64 Ge.upf
Lu 174.97 Lu.upf
Tb 158.93 Tb.upf
ATOMIC_POSITIONS crystal
Ru 0.750 0.750 0.750
Ge 0.250 0.250 0.250
Lu 0.500 0.500 0.500
Tb 0.000 0.000 0.000
CELL_PARAMETERS angstrom
4.888 0.000 0.000
2.444 4.233 0.000
2.444 1.411 3.991

***

[4]
! TmLuGeRu | Alexandria via LeMat-Bulk | PBE | optimized geometry; values from VASP
! Energy relative to the elements ... -0.531 eV per atom
! Size of the total moment ... 0.000 μB per atom
&SYSTEM
  ibrav = 0, nat = 4, ntyp = 4
/
ATOMIC_SPECIES
Ru 101.07 Ru.upf
Ge 72.64 Ge.upf
Lu 174.97 Lu.upf
Tm 168.93 Tm.upf
ATOMIC_POSITIONS crystal
Ru 0.750 0.750 0.750
Ge 0.250 0.250 0.250
Lu 0.000 0.000 0.000
Tm 0.500 0.500 0.500
CELL_PARAMETERS angstrom
-2.297 -4.257 -0.175
2.014 -3.743 -2.315
1.698 -3.771 2.515

***

[5]
! Lu3Ge5S12 | Alexandria via LeMat-Bulk | PBE | optimized geometry; values from VASP
! Uncorrected energy ... -411.923 eV per cell
! Size of the total moment ... 0.000 μB per atom
&SYSTEM
  ibrav = 0, nat = 80, ntyp = 3
/
ATOMIC_SPECIES
Lu 174.97 Lu.upf
Ge 72.64 Ge.upf
S 32.06 S.upf
ATOMIC_POSITIONS crystal
Lu 0.750 0.375 0.125
Lu 0.875 0.750 0.125
Lu 0.375 0.750 0.625
Lu 0.250 0.125 0.375
Lu 0.875 0.125 0.250
Lu 0.375 0.625 0.250
Lu 0.625 0.375 0.750
Lu 0.125 0.875 0.750
Lu 0.750 0.875 0.625
Lu 0.625 0.250 0.375
Lu 0.125 0.250 0.875
Lu 0.250 0.625 0.875
Ge 0.125 0.375 0.250
Ge 0.000 0.500 0.000
Ge 0.000 0.000 0.000
Ge 0.375 0.250 0.125
Ge 0.500 0.000 0.500
Ge 0.500 0.500 0.000
Ge 0.125 0.750 0.375
Ge 0.750 0.125 0.875
Ge 0.750 0.625 0.375
Ge 0.375 0.125 0.750
Ge 0.625 0.875 0.250
Ge 0.500 0.500 0.500
Ge 0.500 0.000 0.000
Ge 0.000 0.000 0.500
Ge 0.250 0.375 0.625
Ge 0.250 0.875 0.125
Ge 0.000 0.500 0.500
Ge 0.875 0.250 0.625
Ge 0.625 0.750 0.875
Ge 0.875 0.625 0.750
S 0.720 0.132 0.039
S 0.318 0.539 0.406
S 0.961 0.368 0.280
S 0.539 0.220 0.132
S 0.588 0.720 0.682
S 0.961 0.594 0.182
S 0.318 0.780 0.412
S 0.094 0.912 0.132
S 0.594 0.961 0.682
S 0.720 0.588 0.182
S 0.780 0.461 0.368
S 0.818 0.906 0.039
S 0.132 0.720 0.539
S 0.368 0.406 0.088
S 0.088 0.906 0.368
S 0.412 0.132 0.594
S 0.088 0.182 0.220
S 0.461 0.682 0.094
S 0.818 0.912 0.280
S 0.132 0.412 0.094
S 0.368 0.961 0.780
S 0.594 0.632 0.412
S 0.906 0.818 0.539
S 0.780 0.318 0.912
S 0.406 0.368 0.588
S 0.094 0.182 0.461
S 0.220 0.682 0.088
S 0.182 0.088 0.720
S 0.632 0.039 0.220
S 0.868 0.588 0.906
S 0.539 0.318 0.906
S 0.588 0.868 0.406
S 0.912 0.818 0.780
S 0.912 0.094 0.632
S 0.868 0.280 0.461
S 0.182 0.094 0.961
S 0.632 0.594 0.912
S 0.406 0.039 0.318
S 0.280 0.412 0.818
S 0.220 0.539 0.632
S 0.906 0.088 0.868
S 0.682 0.220 0.588
S 0.461 0.780 0.868
S 0.039 0.406 0.818
S 0.412 0.280 0.318
S 0.039 0.632 0.720
S 0.682 0.461 0.594
S 0.280 0.868 0.961
CELL_PARAMETERS angstrom
13.147 0.000 0.000
-4.382 12.395 0.000
-4.382 -6.198 10.735

***

[6]
! LuGeSb2 | Alexandria via LeMat-Bulk | PBE | optimized geometry; values from VASP
! Uncorrected energy ... -18.459 eV per cell
! Size of the total moment ... 0.000 μB per atom
&SYSTEM
  ibrav = 0, nat = 4, ntyp = 3
/
ATOMIC_SPECIES
Sb 121.76 Sb.upf
Ge 72.64 Ge.upf
Lu 174.97 Lu.upf
ATOMIC_POSITIONS crystal
Sb 0.254 0.254 0.237
Sb 0.746 0.746 0.763
Ge 0.000 0.000 0.000
Lu 0.500 0.500 0.500
CELL_PARAMETERS angstrom
-3.063 2.271 -1.486
-2.939 -1.747 -2.249
-5.965 -1.123 4.943

***

| no. | volume (Å³/cell) |
| --- | --- |
| 1 | 54 |
| 2 | 75 |
| 3 | 83 |
| 4 | 80 |
| 5 | 1749 |
| 6 | 108 |